{"formula": "LiMgTcO2", "functional": "PBE", "state": "optimized geometry", "lattice": [[3.9160, 0.0000, 0.0000], [0.0000, 5.1686, 0.0000], [0.0000, 0.0000, 3.9160]], "species": ["Mg", "Li", "O", "Tc", "O"], "frac_coords": [[0.0000, 0.0000, 0.0000], [0.5000, 0.5000, 0.5000], [0.0000, 0.0000, 0.5000], [0.0000, 0.5000, 0.0000], [0.5000, 0.0000, 0.0000]], "mass_density_g_cm3": 3.4, "raw_formation_energy_ev_per_atom": 0.283, "n_ef_per_ev_atom": 0.61, "magmom_total_mub_per_cell": 4.68}